# 1
The following is a DFT calculation (PBE-GGA) of Ac2Ga4IrPt3 after structural relaxation.

Summary:
SG: P-4m2
DFT formation energy: -0.912 eV per atom

a = 4.3737 Å, b = 4.3737 Å, c = 10.7037 Å
α = 90.00°, β = 90.00°, γ = 90.00°
Atoms (fractional coordinates):
Ac: 0.5000 0.0000 0.2507
Ac: 0.0000 0.5000 0.7493
Ga: 0.5000 0.5000 0.0000
Ga: 0.0000 0.0000 0.0000
Ga: 0.5000 0.0000 0.6241
Ga: 0.0000 0.5000 0.3759
Ir: 0.5000 0.5000 0.5000
Pt: 0.0000 0.0000 0.5000
Pt: 0.5000 0.0000 0.8682
Pt: 0.0000 0.5000 0.1318



# 2
The following is a DFT calculation (PBE-GGA) of Ac2Ga3IrPt12 after structural relaxation.

Summary:
SG: R-3m
DFT formation energy: -0.393 eV per atom

a = 9.7654 Å, b = 9.7654 Å, c = 9.7654 Å
α = 41.01°, β = 41.01°, γ = 41.01°
Atoms (fractional coordinates):
Ac: 0.6550 0.6550 0.6550
Ac: 0.3450 0.3450 0.3450
Ga: 0.5000 0.0000 0.0000
Ga: 0.0000 0.5000 0.0000
Ga: 0.0000 0.0000 0.5000
Ir: 0.0000 0.0000 0.0000
Pt: 0.4103 0.4103 0.8154
Pt: 0.9278 0.9278 0.3555
Pt: 0.3555 0.9278 0.9278
Pt: 0.8154 0.4103 0.4103
Pt: 0.9278 0.3555 0.9278
Pt: 0.4103 0.8154 0.4103
Pt: 0.5897 0.5897 0.1846
Pt: 0.0722 0.0722 0.6445
Pt: 0.6445 0.0722 0.0722
Pt: 0.1846 0.5897 0.5897
Pt: 0.0722 0.6445 0.0722
Pt: 0.5897 0.1846 0.5897



# 3
The following is a DFT calculation (PBE-GGA) of AcGa4Ir2Pt after structural relaxation.

Summary:
SG: R-3m
DFT formation energy: -0.547 eV per atom

a = 4.3258 Å, b = 4.3258 Å, c = 9.5601 Å
α = 76.92°, β = 76.92°, γ = 60.00°
Atoms (fractional coordinates):
Ac: 0.0000 0.0000 0.0000
Ga: 0.4052 0.4052 0.7844
Ga: 0.8698 0.8698 0.3906
Ga: 0.1302 0.1302 0.6094
Ga: 0.5948 0.5948 0.2156
Ir: 0.7718 0.7718 0.6845
Ir: 0.2282 0.2282 0.3155
Pt: 0.5000 0.5000 0.5000



# 4
The following is a DFT calculation (PBE-GGA) of Ac2PuGa3Ir4 after structural relaxation.

Summary:
SG: P-4m2
DFT formation energy: -0.666 eV per atom

a = 4.4002 Å, b = 4.4002 Å, c = 10.9697 Å
α = 90.00°, β = 90.00°, γ = 90.00°
Last column: magnetic moment on the atom in μB.
Atoms (fractional coordinates):
Ac: 0.5000 0.0000 0.2290  0.06
Ac: 0.0000 0.5000 0.7710  0.06
Pu: 0.5000 0.5000 0.5000  4.99
Ga: 0.0000 0.0000 0.5000  0.02
Ga: 0.5000 0.0000 0.8848  0.02
Ga: 0.0000 0.5000 0.1152  0.02
Ir: 0.5000 0.5000 0.0000  0.04
Ir: 0.0000 0.0000 0.0000  0.05
Ir: 0.5000 0.0000 0.6484  -0.06
Ir: 0.0000 0.5000 0.3516  -0.06



# 5
The following is a DFT calculation (PBE-GGA) of AcPuGaIr after structural relaxation.

Summary:
SG: F-43m
DFT formation energy: -0.290 eV per atom

a = 5.1798 Å, b = 5.1798 Å, c = 5.1798 Å
α = 60.00°, β = 60.00°, γ = 60.00°
Last column: magnetic moment on the atom in μB.
Atoms (fractional coordinates):
Ac: 0.0000 0.0000 0.0000  0.03
Ir: 0.2500 0.2500 0.2500  -0.20
Ga: 0.7500 0.7500 0.7500  0.00
Pu: 0.5000 0.5000 0.5000  5.29



# 6
The following is a DFT calculation (PBE-GGA) of Ac2Ga4IrRh3 after structural relaxation.

Summary:
SG: P-4m2
DFT formation energy: -0.771 eV per atom

a = 4.4100 Å, b = 4.4100 Å, c = 10.2898 Å
α = 90.00°, β = 90.00°, γ = 90.00°
Atoms (fractional coordinates):
Ac: 0.5000 0.0000 0.2604
Ac: 0.0000 0.5000 0.7396
Ga: 0.5000 0.5000 0.0000
Ga: 0.0000 0.0000 0.0000
Ga: 0.5000 0.0000 0.6221
Ga: 0.0000 0.5000 0.3779
Ir: 0.5000 0.5000 0.5000
Rh: 0.0000 0.0000 0.5000
Rh: 0.5000 0.0000 0.8732
Rh: 0.0000 0.5000 0.1268



# 7
The following is a DFT calculation (PBE-GGA) of Ac2Ga6IrRh after structural relaxation.

Summary:
SG: Immm
DFT formation energy: -0.457 eV per atom

a = 6.8638 Å, b = 6.8648 Å, c = 6.8822 Å
α = 59.92°, β = 59.93°, γ = 90.01°
Atoms (fractional coordinates):
Ac: 0.7498 0.2504 0.4998
Ac: 0.2502 0.7496 0.5002
Ga: 0.2510 0.2510 0.4976
Ga: 0.7486 0.7487 0.0002
Ga: 0.2514 0.7489 0.0000
Ga: 0.7486 0.2511 0.0000
Ga: 0.2514 0.2513 0.9998
Ga: 0.7490 0.7490 0.5024
Ir: 0.0000 0.0000 0.0000
Rh: 0.5000 0.5000 0.0000



# 8
The following is a DFT calculation (PBE-GGA) of Ac2Ga4Ir3Rh after structural relaxation.

Summary:
SG: P-4m2
DFT formation energy: -0.736 eV per atom

a = 4.3968 Å, b = 4.3968 Å, c = 10.3652 Å
α = 90.00°, β = 90.00°, γ = 90.00°
Atoms (fractional coordinates):
Ac: 0.5000 0.0000 0.2582
Ac: 0.0000 0.5000 0.7418
Ga: 0.5000 0.5000 0.0000
Ga: 0.0000 0.0000 0.0000
Ga: 0.5000 0.0000 0.6206
Ga: 0.0000 0.5000 0.3794
Ir: 0.0000 0.0000 0.5000
Ir: 0.5000 0.0000 0.8696
Ir: 0.0000 0.5000 0.1304
Rh: 0.5000 0.5000 0.5000



# 9
The following is a DFT calculation (PBE-GGA) of AcGa4Ir2Rh after structural relaxation.

Summary:
SG: R-3m
DFT formation energy: -0.601 eV per atom

a = 4.2966 Å, b = 4.2966 Å, c = 9.5049 Å
α = 76.94°, β = 76.94°, γ = 60.00°
Atoms (fractional coordinates):
Ac: 0.0000 0.0000 0.0000
Ga: 0.4070 0.4070 0.7790
Ga: 0.8670 0.8670 0.3989
Ga: 0.1330 0.1330 0.6011
Ga: 0.5930 0.5930 0.2210
Ir: 0.7699 0.7699 0.6903
Ir: 0.2301 0.2301 0.3097
Rh: 0.5000 0.5000 0.5000



# 10
The following is a DFT calculation (PBE-GGA) of Ac2Ga3IrRh4 after structural relaxation.

Summary:
SG: P-4m2
DFT formation energy: -0.652 eV per atom

a = 4.3889 Å, b = 4.3889 Å, c = 10.3037 Å
α = 90.00°, β = 90.00°, γ = 90.00°
Atoms (fractional coordinates):
Ac: 0.5000 0.0000 0.2459
Ac: 0.0000 0.5000 0.7541
Ga: 0.0000 0.0000 0.5000
Ga: 0.5000 0.0000 0.8797
Ga: 0.0000 0.5000 0.1203
Ir: 0.5000 0.5000 0.5000
Rh: 0.5000 0.5000 0.0000
Rh: 0.0000 0.0000 0.0000
Rh: 0.5000 0.0000 0.6333
Rh: 0.0000 0.5000 0.3667



# 11
The following is a DFT calculation (PBE-GGA) of AcGa2IrRh after structural relaxation.

Summary:
SG: I-4m2
DFT formation energy: -0.755 eV per atom

a = 4.3850 Å, b = 4.3850 Å, c = 6.0568 Å
α = 111.22°, β = 111.22°, γ = 90.00°
Atoms (fractional coordinates):
Ac: 0.0000 0.0000 0.0000
Ga: 0.6328 0.6328 0.2656
Ga: 0.3672 0.3672 0.7344
Ir: 0.7500 0.2500 0.5000
Rh: 0.2500 0.7500 0.5000



# 12
The following is a DFT calculation (PBE-GGA) of Ac3Ga4Ir2Rh2 after structural relaxation.

Summary:
SG: P-3m1
DFT formation energy: -0.626 eV per atom

a = 4.3619 Å, b = 4.3619 Å, c = 15.6532 Å
α = 90.00°, β = 90.00°, γ = 120.00°
Atoms (fractional coordinates):
Ac: 0.0000 0.0000 0.7143
Ac: 0.0000 0.0000 0.0000
Ac: 0.0000 0.0000 0.2857
Ga: 0.6667 0.3333 0.1419
Ga: 0.3333 0.6667 0.8581
Ga: 0.6667 0.3333 0.5636
Ga: 0.3333 0.6667 0.4364
Ir: 0.6667 0.3333 0.4013
Ir: 0.3333 0.6667 0.5987
Rh: 0.6667 0.3333 0.8676
Rh: 0.3333 0.6667 0.1324



# 13
The following is a DFT calculation (PBE-GGA) of AcGa4Ir2Ru after structural relaxation.

Summary:
SG: R-3m
DFT formation energy: -0.513 eV per atom

a = 4.2912 Å, b = 4.2912 Å, c = 9.5016 Å
α = 76.95°, β = 76.95°, γ = 60.00°
Atoms (fractional coordinates):
Ac: 0.0000 0.0000 0.0000
Ga: 0.4078 0.4078 0.7766
Ga: 0.8660 0.8660 0.4020
Ga: 0.1340 0.1340 0.5980
Ga: 0.5922 0.5922 0.2234
Ir: 0.7674 0.7674 0.6978
Ir: 0.2326 0.2326 0.3022
Ru: 0.5000 0.5000 0.5000



# 14
The following is a DFT calculation (PBE-GGA) of Ac2Ga4Ir3Ru after structural relaxation.

Summary:
SG: P-4m2
DFT formation energy: -0.637 eV per atom

a = 4.4499 Å, b = 4.4499 Å, c = 10.1602 Å
α = 90.00°, β = 90.00°, γ = 90.00°
Atoms (fractional coordinates):
Ac: 0.5000 0.0000 0.2647
Ac: 0.0000 0.5000 0.7353
Ga: 0.5000 0.5000 0.0000
Ga: 0.0000 0.0000 0.0000
Ga: 0.5000 0.0000 0.6189
Ga: 0.0000 0.5000 0.3811
Ir: 0.0000 0.0000 0.5000
Ir: 0.5000 0.0000 0.8738
Ir: 0.0000 0.5000 0.1262
Ru: 0.5000 0.5000 0.5000



# 15
The following is a DFT calculation (PBE-GGA) of AcGa3IrRu after structural relaxation.

Summary:
SG: Cmcm
DFT formation energy: -0.399 eV per atom

a = 6.0930 Å, b = 7.7903 Å, c = 6.7814 Å
α = 125.06°, β = 90.00°, γ = 90.00°
Atoms (fractional coordinates):
Ac: 0.7500 0.2519 0.5038
Ac: 0.2500 0.7481 0.4962
Ga: 0.2500 0.2494 0.4987
Ga: 0.0000 0.2528 0.0000
Ga: 0.5000 0.7472 0.0000
Ga: 0.5000 0.2528 0.0000
Ga: 0.0000 0.7472 0.0000
Ga: 0.7500 0.7506 0.5013
Ir: 0.2500 0.0361 0.0723
Ir: 0.7500 0.9639 0.9277
Ru: 0.2500 0.4589 0.9177
Ru: 0.7500 0.5411 0.0823



# 16
The following is a DFT calculation (PBE-GGA) of AcGa4IrRu2 after structural relaxation.

Summary:
SG: R-3m
DFT formation energy: -0.390 eV per atom

a = 4.2970 Å, b = 4.2970 Å, c = 9.5384 Å
α = 76.98°, β = 76.98°, γ = 60.00°
Atoms (fractional coordinates):
Ac: 0.0000 0.0000 0.0000
Ga: 0.4079 0.4079 0.7762
Ga: 0.8675 0.8675 0.3975
Ga: 0.1325 0.1325 0.6025
Ga: 0.5921 0.5921 0.2238
Ir: 0.5000 0.5000 0.5000
Ru: 0.7698 0.7698 0.6906
Ru: 0.2302 0.2302 0.3094



# 17
The following is a DFT calculation (PBE-GGA) of Ac2Ga3SbIr4 after structural relaxation.

Summary:
energy relative to the elements, uncorrected: -6.91 eV/f.u.
SG: P-4m2

a = 4.4814 Å, b = 4.4814 Å, c = 10.3409 Å
α = 90.00°, β = 90.00°, γ = 90.00°
Atoms (fractional coordinates):
Ac: 0.5000 0.0000 0.2364
Ac: 0.0000 0.5000 0.7636
Ga: 0.0000 0.0000 0.5000
Ga: 0.5000 0.0000 0.8796
Ga: 0.0000 0.5000 0.1204
Sb: 0.5000 0.5000 0.5000
Ir: 0.5000 0.5000 0.0000
Ir: 0.0000 0.0000 0.0000
Ir: 0.5000 0.0000 0.6330
Ir: 0.0000 0.5000 0.3670



# 18
The following is a DFT calculation (PBE-GGA) of Ac2ScGa3Ir4 after structural relaxation.

Summary:
SG: P-4m2
DFT formation energy: -0.753 eV per atom

a = 4.3308 Å, b = 4.3308 Å, c = 10.9834 Å
α = 90.00°, β = 90.00°, γ = 90.00°
Atoms (fractional coordinates):
Ac: 0.5000 0.0000 0.2333
Ac: 0.0000 0.5000 0.7667
Sc: 0.5000 0.5000 0.5000
Ga: 0.0000 0.0000 0.5000
Ga: 0.5000 0.0000 0.8826
Ga: 0.0000 0.5000 0.1174
Ir: 0.5000 0.5000 0.0000
Ir: 0.0000 0.0000 0.0000
Ir: 0.5000 0.0000 0.6447
Ir: 0.0000 0.5000 0.3553



# 19
The following is a DFT calculation (PBE-GGA) of AcGa2SiIr after structural relaxation.

Summary:
energy relative to the elements, uncorrected: -2.87 eV/f.u.
SG: Imm2

a = 4.2403 Å, b = 4.3201 Å, c = 6.2311 Å
α = 110.28°, β = 109.89°, γ = 90.00°
Atoms (fractional coordinates):
Ac: 0.4411 0.4411 0.8822
Ga: 0.6925 0.1925 0.3849
Ga: 0.0616 0.0616 0.1232
Si: 0.8156 0.8156 0.6313
Ir: 0.2013 0.7013 0.4027



# 20
The following is a DFT calculation (PBE-GGA) of Ac2Ga3SiIr4 after structural relaxation.

Summary:
energy relative to the elements, uncorrected: -7.34 eV/f.u.
SG: P-4m2

a = 4.3978 Å, b = 4.3978 Å, c = 10.2156 Å
α = 90.00°, β = 90.00°, γ = 90.00°
Atoms (fractional coordinates):
Ac: 0.5000 0.0000 0.2437
Ac: 0.0000 0.5000 0.7563
Ga: 0.0000 0.0000 0.5000
Ga: 0.5000 0.0000 0.8754
Ga: 0.0000 0.5000 0.1246
Si: 0.5000 0.5000 0.5000
Ir: 0.5000 0.5000 0.0000
Ir: 0.0000 0.0000 0.0000
Ir: 0.5000 0.0000 0.6195
Ir: 0.0000 0.5000 0.3805



# 21
The following is a DFT calculation (PBE-GGA) of AcSmGa2Ir2 after structural relaxation.

Summary:
SG: P-3m1
DFT formation energy: -0.733 eV per atom

a = 4.4134 Å, b = 4.4134 Å, c = 7.9903 Å
α = 90.00°, β = 90.00°, γ = 120.00°
Atoms (fractional coordinates):
Ac: 0.0000 0.0000 0.0000
Sm: 0.0000 0.0000 0.5000
Ga: 0.6667 0.3333 0.7235
Ga: 0.3333 0.6667 0.2765
Ir: 0.6667 0.3333 0.2718
Ir: 0.3333 0.6667 0.7282



# 22
The following is a DFT calculation (PBE-GGA) of Ac2Ga3SnIr4 after structural relaxation.

Summary:
SG: P-4m2
DFT formation energy: -0.673 eV per atom

a = 4.4392 Å, b = 4.4392 Å, c = 10.5575 Å
α = 90.00°, β = 90.00°, γ = 90.00°
Atoms (fractional coordinates):
Ac: 0.5000 0.0000 0.2343
Ac: 0.0000 0.5000 0.7657
Ga: 0.0000 0.0000 0.5000
Ga: 0.5000 0.0000 0.8812
Ga: 0.0000 0.5000 0.1188
Sn: 0.5000 0.5000 0.5000
Ir: 0.5000 0.5000 0.0000
Ir: 0.0000 0.0000 0.0000
Ir: 0.5000 0.0000 0.6387
Ir: 0.0000 0.5000 0.3613



# 23
The following is a DFT calculation (PBE-GGA) of Ac2Ga4SnIr3 after structural relaxation.

Summary:
SG: P-4m2
DFT formation energy: -0.591 eV per atom

a = 4.3627 Å, b = 4.3627 Å, c = 11.0915 Å
α = 90.00°, β = 90.00°, γ = 90.00°
Atoms (fractional coordinates):
Ac: 0.5000 0.0000 0.2389
Ac: 0.0000 0.5000 0.7611
Ga: 0.5000 0.5000 0.0000
Ga: 0.0000 0.0000 0.0000
Ga: 0.5000 0.0000 0.6456
Ga: 0.0000 0.5000 0.3544
Sn: 0.5000 0.5000 0.5000
Ir: 0.0000 0.0000 0.5000
Ir: 0.5000 0.0000 0.8755
Ir: 0.0000 0.5000 0.1245



What are the spin magnetization values for these records? In order: 0.00, 0.00, 0.00, 0.56, 1.35, 0.00, 0.00, 0.00, 0.00, 0.00, 0.00, 0.00, 0.00, 0.00, 0.00, 0.00, 0.00, 0.00, 0.00, 0.00, 0.00, 0.00, 0.00 μB per atom.